Entry 1:
The following is a PBE calculation of a relaxed structure of DyEr2Pd, from Alexandria.

The structure in extended XYZ format:
```
8
Lattice="3.738 -0.001 0.000 -1.871 6.125 0.000 0.000 0.000 9.250" Properties=species:S:1:pos:R:3 pbc="T T T"
Dy 0.001 0.753 6.937
Er -0.003 4.466 5.180
Pd 1.866 3.192 6.937
Er -0.003 4.466 8.695
Er 1.870 1.657 0.555
Er 1.870 1.657 4.070
Dy 1.866 5.370 2.312
Pd 0.001 2.932 2.312
```

## Properties
**E above lowest polymorph**: 8 kJ/mol of formula units
**Energy relative to the elements**: -0.465 eV per atom
**Final energy**: -0.1909 Ha/atom
**Volume**: 26.5 A^3/atom
**Crystal system**: monoclinic
**Symmetry**: No. 11

=====

Entry 2:
The following is a PBE calculation of a relaxed structure of Dy2ErPd8, from Alexandria.

The structure in extended XYZ format:
```
11
Lattice="4.203 0.000 0.000 0.000 6.752 0.214 -2.101 -2.570 6.939" Properties=species:S:1:pos:R:3 pbc="T T T"
Er 2.101 0.000 0.000
Pd 0.000 0.481 1.992
Pd 0.000 -1.031 4.511
Dy 2.101 0.802 3.992
Pd 2.101 3.701 5.161
Pd 0.000 4.662 0.667
Pd 2.101 -0.480 6.486
Pd 0.000 1.617 5.792
Dy 0.000 3.380 3.161
Pd 2.101 5.213 2.642
Pd 2.101 2.566 1.362
```

## Properties
**Energy relative to the elements**: -0.774 eV per atom
**Final energy**: -0.2132 Ha/atom
**Volume**: 18.1 A^3/atom
**Crystal system**: monoclinic
**Symmetry**: No. 12

=====

Entry 3:
The following is a PBE calculation of a relaxed structure of DyEr2Pd, from Alexandria.

The structure in extended XYZ format:
```
4
Lattice="3.614 0.000 0.000 1.807 3.130 0.000 1.807 1.043 9.732" Properties=species:S:1:pos:R:3 pbc="T T T"
Er 1.807 1.043 1.944
Er 5.421 3.130 7.788
Dy 3.614 2.087 4.866
Pd 0.000 0.000 0.000
```

## Properties
**E above lowest polymorph**: 70 kJ/mol of formula units
**Energy relative to the elements**: -0.304 eV per atom
**Final energy**: -0.1850 Ha/atom
**Volume**: 27.5 A^3/atom
**Crystal system**: trigonal
**Symmetry**: No. 166

=====

Entry 4:
The following is a PBE calculation of a relaxed structure of Dy4ErPd5, from Alexandria.

The structure in extended XYZ format:
```
10
Lattice="-0.229 -1.449 -3.142 3.010 -1.636 0.535 -8.781 -13.857 7.032" Properties=species:S:1:pos:R:3 pbc="T T T"
Pd -3.000 -8.471 2.212
Dy -3.508 -5.537 2.810
Pd -1.237 -5.689 0.800
Dy -1.745 -2.754 1.398
Pd -4.763 -11.254 3.624
Er 0.000 0.000 0.000
Pd 0.533 -2.896 -0.617
Dy -5.272 -8.321 4.222
Pd -6.533 -14.046 5.042
Dy -7.036 -11.103 5.634
```

## Properties
**Energy relative to the elements**: -0.887 eV per atom
**Final energy**: -0.2124 Ha/atom
**Volume**: 21.5 A^3/atom
**Crystal system**: tetragonal
**Symmetry**: No. 123

=====

Entry 5:
The following is a PBE calculation of a relaxed structure of Dy3Er2Pd2, from Alexandria.

The structure in extended XYZ format:
```
7
Lattice="-1.951 -0.098 -3.141 -0.420 -5.856 2.621 -5.717 6.142 3.359" Properties=species:S:1:pos:R:3 pbc="T T T"
Pd -1.821 -0.601 1.150
Er -2.992 -2.937 -0.227
Dy -0.975 -0.049 -1.570
Pd -6.266 0.789 1.690
Dy -3.803 1.317 0.143
Dy -4.284 -1.129 2.696
Er -5.094 3.125 3.067
```

## Properties
**E above lowest polymorph**: 0 kJ/mol of formula units
**Energy relative to the elements**: -0.526 eV per atom
**Final energy**: -0.1942 Ha/atom
**Volume**: 26.3 A^3/atom
**Crystal system**: monoclinic
**Symmetry**: No. 12

=====

Entry 6:
The following is a PBE calculation of a relaxed structure of Dy2Er3Pd4, from Alexandria.

The structure in extended XYZ format:
```
18
Lattice="-1.856 -5.175 3.722 6.297 0.437 3.748 -2.809 7.991 3.788" Properties=species:S:1:pos:R:3 pbc="T T T"
Pd 0.411 3.809 5.501
Er 3.191 4.507 4.897
Dy -1.336 1.974 8.000
Pd -0.326 -3.037 4.498
Er -0.631 1.333 4.500
Er 2.221 -2.369 3.735
Pd -3.180 1.037 5.777
Dy 2.969 1.278 3.258
Pd 1.031 3.702 8.621
Er 0.000 0.000 0.000
Dy 4.134 -1.164 6.364
Pd 1.222 -0.556 5.757
Er -1.559 -1.254 6.361
Dy -2.502 4.416 4.893
Pd 0.602 -0.449 2.636
Er 2.263 1.919 6.758
Pd 4.812 2.216 5.480
Pd 1.959 6.289 6.760
```

## Properties
**Energy relative to the elements**: -0.714 eV per atom
**Final energy**: -0.2045 Ha/atom
**Volume**: 23.5 A^3/atom
**Crystal system**: orthorhombic
**Symmetry**: No. 64

=====

Number 6 is which compound?
Dy2Er3Pd4